Material: HfPaTe2
Method: DFT, PBE
State: relaxed

Cell and atoms, written as POSCAR:
```
HfPaTe2
1.0
1.861 1.074 8.615
-1.861 1.074 8.615
0.000 -2.149 8.615
Hf Pa Te
1 1 2
Direct
0.000 0.000 0.000 Hf
0.836 0.836 0.836 Pa
0.410 0.410 0.410 Te
0.591 0.591 0.591 Te
```

* N(E_F): 1.3505 states/eV/atom
* uncorrected formation energy: -0.49 eV/atom
* total moment: 0.22 μB per atom
* space-group type: R3m